[1]
PBE DyZnNi5Ge2, optimized geometry; SG = P4/mmm (123); calculated volume = 14.85 A^3/atom; DFT formation energy = -0.1258 eV per atom; total magnetization = 0.000 μB per atom
1.0
3.963 0.000 0.000
0.000 3.963 0.000
0.000 0.000 8.509
Dy Zn Ni Ge
1 1 5 2
Direct
0.000 0.000 0.000 Dy
0.000 0.000 0.500 Zn
0.000 0.500 0.223 Ni
0.000 0.500 0.777 Ni
0.500 0.000 0.223 Ni
0.500 0.000 0.777 Ni
0.500 0.500 0.000 Ni
0.500 0.500 0.360 Ge
0.500 0.500 0.640 Ge


[2]
PBE Dy2ZnNi3Ge4, optimized geometry; SG = P-4m2 (115); calculated volume = 16.60 A^3/atom; DFT formation energy = -0.6354 eV per atom; total magnetization = 0.000 μB per atom
1.0
4.072 0.000 0.000
0.000 4.072 0.000
0.000 0.000 10.006
Dy Zn Ni Ge
2 1 3 4
Direct
0.000 0.500 0.244 Dy
0.500 0.000 0.756 Dy
0.000 0.000 0.500 Zn
0.000 0.500 0.877 Ni
0.500 0.000 0.123 Ni
0.500 0.500 0.500 Ni
0.000 0.000 0.000 Ge
0.000 0.500 0.644 Ge
0.500 0.000 0.356 Ge
0.500 0.500 0.000 Ge


[3]
PBE DyZnNi4Ge2, optimized geometry; SG = R-3m (166); calculated volume = 14.51 A^3/atom; DFT formation energy = -0.4013 eV per atom; total magnetization = 0.000 μB per atom
1.0
2.020 1.166 8.209
-2.020 1.166 8.209
0.000 -2.333 8.209
Dy Zn Ni Ge
1 1 4 2
Direct
0.000 0.000 0.000 Dy
0.500 0.500 0.500 Zn
0.132 0.132 0.132 Ni
0.405 0.405 0.405 Ni
0.595 0.595 0.595 Ni
0.868 0.868 0.868 Ni
0.245 0.245 0.245 Ge
0.755 0.755 0.755 Ge


[4]
PBE DyZn2Ni4Ge, optimized geometry; SG = R-3m (166); calculated volume = 14.58 A^3/atom; DFT formation energy = -0.2994 eV per atom; total magnetization = 0.000 μB per atom
1.0
2.049 1.183 8.022
-2.049 1.183 8.022
0.000 -2.365 8.022
Dy Zn Ni Ge
1 2 4 1
Direct
0.000 0.000 0.000 Dy
0.246 0.246 0.246 Zn
0.754 0.754 0.754 Zn
0.132 0.132 0.132 Ni
0.404 0.404 0.404 Ni
0.596 0.596 0.596 Ni
0.868 0.868 0.868 Ni
0.500 0.500 0.500 Ge


[5]
PBE DyZnNiGe2, optimized geometry; SG = I-4m2 (119); calculated volume = 17.13 A^3/atom; DFT formation energy = -0.5441 eV per atom; total magnetization = 0.000 μB per atom
1.0
-2.018 2.018 5.258
2.018 -2.018 5.258
2.018 2.018 -5.258
Dy Zn Ni Ge
1 1 1 2
Direct
0.000 0.000 0.000 Dy
0.250 0.750 0.500 Zn
0.750 0.250 0.500 Ni
0.382 0.382 0.000 Ge
0.618 0.618 0.000 Ge


[6]
PBE DyNpGe, optimized geometry; SG = Immm (71); calculated volume = 24.94 A^3/atom; DFT formation energy = -0.3010 eV per atom; total magnetization = 1.582 μB per atom
1.0
-2.007 2.804 6.648
2.007 -2.804 6.648
2.007 2.804 -6.648
Dy Np Ge
2 2 2
Direct
0.204 0.204 0.000 Dy
0.796 0.796 0.000 Dy
0.252 0.500 0.752 Np
0.748 0.500 0.248 Np
0.367 0.867 0.500 Ge
0.633 0.133 0.500 Ge


[7]
PBE Dy2NpGe3Pt4, optimized geometry; SG = P-4m2 (115); calculated volume = 20.23 A^3/atom; DFT formation energy = -0.7722 eV per atom; total magnetization = 0.414 μB per atom
1.0
4.233 0.000 0.000
0.000 4.233 0.000
0.000 0.000 11.289
Dy Np Ge Pt
2 1 3 4
Direct
0.000 0.500 0.221 Dy
0.500 0.000 0.779 Dy
0.000 0.000 0.500 Np
0.000 0.500 0.874 Ge
0.500 0.000 0.126 Ge
0.500 0.500 0.500 Ge
0.000 0.000 0.000 Pt
0.000 0.500 0.659 Pt
0.500 0.000 0.341 Pt
0.500 0.500 0.000 Pt


[8]
PBE Dy5Ge2O12, optimized geometry; SG = C2/m (12); formation energy without anion corrections = -280.7 kJ/mol of atoms; calculated volume = 13.01 A^3/atom; total magnetization = 0.051 μB per atom
1.0
6.157 -2.891 0.000
6.157 2.891 0.000
-2.147 0.000 6.942
Dy Ge O
5 2 12
Direct
0.000 0.000 0.000 Dy
0.305 0.305 0.143 Dy
0.306 0.306 0.664 Dy
0.694 0.694 0.336 Dy
0.695 0.695 0.857 Dy
0.245 0.755 0.500 Ge
0.755 0.245 0.500 Ge
0.000 0.000 0.321 O
0.000 0.000 0.679 O
0.096 0.597 0.925 O
0.100 0.580 0.419 O
0.403 0.904 0.075 O
0.420 0.900 0.581 O
0.499 0.499 0.680 O
0.501 0.501 0.320 O
0.580 0.100 0.419 O
0.597 0.096 0.925 O
0.900 0.420 0.581 O
0.904 0.403 0.075 O


[9]
PBE Dy2Ge2O7, optimized geometry; SG = C2 (5); formation energy without anion corrections = -252.0 kJ/mol of atoms; calculated volume = 14.48 A^3/atom; total magnetization = 0.000 μB per atom
1.0
3.521 -4.622 0.000
3.521 4.622 0.000
-1.072 0.000 4.893
Dy Ge O
2 2 7
Direct
0.000 0.000 0.000 Dy
0.613 0.387 0.000 Dy
0.080 0.464 0.593 Ge
0.536 0.920 0.407 Ge
0.225 0.293 0.789 O
0.318 0.682 0.500 O
0.387 0.087 0.211 O
0.704 0.092 0.723 O
0.707 0.775 0.211 O
0.908 0.296 0.277 O
0.913 0.613 0.789 O


[10]
PBE Dy4Ge2O, optimized geometry; SG = I4/mmm (139); formation energy without anion corrections = -127.6 kJ/mol of atoms; calculated volume = 22.69 A^3/atom; total magnetization = 0.000 μB per atom
1.0
-2.246 2.246 7.873
2.246 -2.246 7.873
2.246 2.246 -7.873
Dy Ge O
4 2 1
Direct
0.000 0.500 0.500 Dy
0.177 0.177 0.000 Dy
0.500 0.000 0.500 Dy
0.823 0.823 0.000 Dy
0.363 0.363 0.000 Ge
0.637 0.637 0.000 Ge
0.000 0.000 0.000 O


[11]
PBE Dy2Ge2O7, optimized geometry; SG = Fd-3m (227); formation energy without anion corrections = -251.5 kJ/mol of atoms; calculated volume = 11.45 A^3/atom; total magnetization = 0.000 μB per atom
1.0
0.000 5.013 5.013
5.013 0.000 5.013
5.013 5.013 0.000
Dy Ge O
4 4 14
Direct
0.000 0.000 0.000 Dy
0.000 0.000 0.500 Dy
0.000 0.500 0.000 Dy
0.500 0.000 0.000 Dy
0.000 0.500 0.500 Ge
0.500 0.000 0.500 Ge
0.500 0.500 0.000 Ge
0.500 0.500 0.500 Ge
0.125 0.125 0.125 O
0.172 0.172 0.578 O
0.172 0.578 0.172 O
0.172 0.578 0.578 O
0.422 0.422 0.828 O
0.422 0.828 0.422 O
0.422 0.828 0.828 O
0.578 0.172 0.172 O
0.578 0.172 0.578 O
0.578 0.578 0.172 O
0.828 0.422 0.422 O
0.828 0.422 0.828 O
0.828 0.828 0.422 O
0.875 0.875 0.875 O


[12]
PBE Dy2Ge2O7, optimized geometry; SG = Pnma (62); formation energy without anion corrections = -250.0 kJ/mol of atoms; calculated volume = 13.95 A^3/atom; total magnetization = 0.000 μB per atom
1.0
13.957 0.000 0.000
0.000 8.295 0.000
0.000 0.000 5.303
Dy Ge O
8 8 28
Direct
0.125 0.015 0.157 Dy
0.125 0.485 0.157 Dy
0.375 0.515 0.657 Dy
0.375 0.985 0.657 Dy
0.625 0.015 0.343 Dy
0.625 0.485 0.343 Dy
0.875 0.515 0.843 Dy
0.875 0.985 0.843 Dy
0.049 0.750 0.628 Ge
0.186 0.250 0.622 Ge
0.314 0.750 0.122 Ge
0.451 0.250 0.128 Ge
0.549 0.750 0.872 Ge
0.686 0.250 0.878 Ge
0.814 0.750 0.378 Ge
0.951 0.250 0.372 Ge
0.049 0.569 0.799 O
0.049 0.931 0.799 O
0.082 0.250 0.413 O
0.107 0.750 0.333 O
0.154 0.250 0.940 O
0.237 0.075 0.494 O
0.237 0.425 0.494 O
0.263 0.575 0.994 O
0.263 0.925 0.994 O
0.346 0.750 0.440 O
0.393 0.250 0.833 O
0.418 0.750 0.913 O
0.451 0.069 0.299 O
0.451 0.431 0.299 O
0.549 0.569 0.701 O
0.549 0.931 0.701 O
0.582 0.250 0.087 O
0.607 0.750 0.167 O
0.654 0.250 0.560 O
0.737 0.075 0.006 O
0.737 0.425 0.006 O
0.763 0.575 0.506 O
0.763 0.925 0.506 O
0.846 0.750 0.060 O
0.893 0.250 0.667 O
0.918 0.750 0.587 O
0.951 0.069 0.201 O
0.951 0.431 0.201 O


[13]
PBE DyGe2O6, optimized geometry; SG = C2/c (15); formation energy without anion corrections = -191.1 kJ/mol of atoms; calculated volume = 16.27 A^3/atom; total magnetization = 0.116 μB per atom
1.0
5.445 -4.895 0.000
5.445 4.895 0.000
-1.701 0.000 5.493
Dy Ge O
2 4 12
Direct
0.112 0.888 0.750 Dy
0.888 0.112 0.250 Dy
0.216 0.355 0.714 Ge
0.355 0.216 0.214 Ge
0.645 0.784 0.786 Ge
0.784 0.645 0.286 Ge
0.073 0.163 0.624 O
0.084 0.571 0.694 O
0.163 0.073 0.124 O
0.332 0.384 0.024 O
0.384 0.332 0.524 O
0.429 0.916 0.806 O
0.571 0.084 0.194 O
0.616 0.668 0.476 O
0.668 0.616 0.976 O
0.837 0.927 0.876 O
0.916 0.429 0.306 O
0.927 0.837 0.376 O


[14]
PBE Dy2Ge2O7, optimized geometry; SG = P-1 (2); formation energy without anion corrections = -250.3 kJ/mol of atoms; calculated volume = 13.18 A^3/atom; total magnetization = 0.000 μB per atom
1.0
6.859 0.000 0.000
-0.339 6.895 0.000
-0.169 -1.006 12.264
Dy Ge O
8 8 28
Direct
0.045 0.143 0.357 Dy
0.187 0.673 0.884 Dy
0.261 0.343 0.630 Dy
0.317 0.041 0.112 Dy
0.683 0.959 0.888 Dy
0.739 0.657 0.370 Dy
0.813 0.327 0.116 Dy
0.955 0.857 0.643 Dy
0.157 0.158 0.886 Ge
0.250 0.638 0.407 Ge
0.308 0.514 0.165 Ge
0.420 0.842 0.630 Ge
0.580 0.158 0.370 Ge
0.692 0.486 0.835 Ge
0.750 0.362 0.593 Ge
0.843 0.842 0.114 Ge
0.012 0.004 0.189 O
0.062 0.802 0.411 O
0.088 0.227 0.020 O
0.098 0.406 0.224 O
0.178 0.414 0.456 O
0.226 0.357 0.815 O
0.247 0.678 0.688 O
0.256 0.025 0.616 O
0.271 0.698 0.077 O
0.343 0.993 0.915 O
0.360 0.089 0.303 O
0.415 0.631 0.294 O
0.459 0.728 0.496 O
0.472 0.339 0.120 O
0.528 0.661 0.880 O
0.541 0.272 0.504 O
0.585 0.369 0.706 O
0.640 0.911 0.697 O
0.657 0.007 0.085 O
0.729 0.302 0.923 O
0.744 0.975 0.384 O
0.753 0.322 0.312 O
0.774 0.643 0.185 O
0.822 0.586 0.544 O
0.902 0.594 0.776 O
0.912 0.773 0.980 O
0.938 0.198 0.589 O
0.988 0.996 0.811 O


[15]
PBE Dy2Ge2O7, optimized geometry; SG = P2_1/m (11); formation energy without anion corrections = -246.3 kJ/mol of atoms; calculated volume = 14.37 A^3/atom; total magnetization = 0.000 μB per atom
1.0
5.372 0.000 0.000
0.000 8.136 0.000
-2.454 0.000 7.231
Dy Ge O
4 4 14
Direct
0.000 0.000 0.000 Dy
0.000 0.500 0.000 Dy
0.500 0.000 0.500 Dy
0.500 0.500 0.500 Dy
0.032 0.250 0.612 Ge
0.402 0.750 0.828 Ge
0.598 0.250 0.172 Ge
0.968 0.750 0.388 Ge
0.039 0.566 0.294 O
0.039 0.934 0.294 O
0.167 0.750 0.943 O
0.272 0.750 0.577 O
0.323 0.250 0.555 O
0.415 0.070 0.166 O
0.415 0.430 0.166 O
0.585 0.570 0.834 O
0.585 0.930 0.834 O
0.677 0.750 0.445 O
0.728 0.250 0.423 O
0.833 0.250 0.057 O
0.961 0.066 0.706 O
0.961 0.434 0.706 O


[16]
PBE Dy2GeO6, optimized geometry; SG = P4_2/mnm (136); formation energy without anion corrections = -219.8 kJ/mol of atoms; calculated volume = 13.63 A^3/atom; total magnetization = 0.225 μB per atom
1.0
4.957 0.000 0.000
0.000 4.957 0.000
0.000 0.000 9.986
Dy Ge O
4 2 12
Direct
0.000 0.000 0.171 Dy
0.000 0.000 0.829 Dy
0.500 0.500 0.329 Dy
0.500 0.500 0.671 Dy
0.000 0.000 0.500 Ge
0.500 0.500 0.000 Ge
0.184 0.184 0.358 O
0.184 0.184 0.642 O
0.227 0.227 0.000 O
0.273 0.727 0.500 O
0.316 0.684 0.142 O
0.316 0.684 0.858 O
0.684 0.316 0.142 O
0.684 0.316 0.858 O
0.727 0.273 0.500 O
0.773 0.773 0.000 O
0.816 0.816 0.358 O
0.816 0.816 0.642 O